[1]
Here is a geometry-optimized Rb2PmMgCl6 structure from the Alexandria database. Energies are from GGA-PBE.

Results
M_tot = 0.099 μB/atom
electronic total energy = -3.796 eV per atom
uncorrected formation energy = -1860 meV/atom

a b c (Å): 7.2987 10.6155 7.7136
angles (deg): 90.00 90.00 90.00
Positions (direct):
1 Rb 0.2500 0.0012 0.2489
2 Rb 0.2500 0.4988 0.2489
3 Rb 0.7500 0.5012 0.7511
4 Rb 0.7500 0.9988 0.7511
5 Pm 0.2500 0.7500 0.7491
6 Pm 0.7500 0.2500 0.2509
7 Mg 0.2500 0.2500 0.7507
8 Mg 0.7500 0.7500 0.2493
9 Cl 0.0068 0.2500 0.5196
10 Cl 0.0071 0.2500 0.9823
11 Cl 0.2500 0.0129 0.7509
12 Cl 0.2500 0.4871 0.7509
13 Cl 0.4932 0.2500 0.5196
14 Cl 0.4929 0.2500 0.9823
15 Cl 0.5071 0.7500 0.0177
16 Cl 0.5068 0.7500 0.4804
17 Cl 0.7500 0.5129 0.2491
18 Cl 0.7500 0.9871 0.2491
19 Cl 0.9929 0.7500 0.0177
20 Cl 0.9932 0.7500 0.4804

---

[2]
Here is a geometry-optimized RbPmMg2Cl8 structure from the Alexandria database. Energies are from GGA-PBE.

Results
M_tot = 0.000 μB/atom
electronic total energy = -3.942 eV per atom
uncorrected formation energy = -1969 meV/atom

a b c (Å): 6.5886 6.6661 9.2386
angles (deg): 76.17 77.54 76.35
Positions (direct):
1 Rb 0.0000 0.0000 0.0000
2 Pm 0.0000 0.0000 0.5000
3 Mg 0.4623 0.4520 0.2068
4 Mg 0.5377 0.5480 0.7932
5 Cl 0.1855 0.7219 0.7306
6 Cl 0.2366 0.7723 0.2886
7 Cl 0.2963 0.2410 0.4424
8 Cl 0.3686 0.3088 0.0201
9 Cl 0.6314 0.6912 0.9799
10 Cl 0.7037 0.7590 0.5576
11 Cl 0.7634 0.2277 0.7114
12 Cl 0.8145 0.2781 0.2694

---

[3]
Here is a geometry-optimized PmMg2TlCl8 structure from the Alexandria database. Energies are from GGA-PBE.

Results
M_tot = 0.000 μB/atom
electronic total energy = -3.894 eV per atom
uncorrected formation energy = -1804 meV/atom

a b c (Å): 6.5340 6.5370 9.0170
angles (deg): 79.62 79.09 79.35
Positions (direct):
1 Pm 0.0000 0.0000 0.0000
2 Mg 0.4541 0.4581 0.7094
3 Mg 0.5459 0.5419 0.2906
4 Tl 0.0000 0.0000 0.5000
5 Cl 0.2142 0.7604 0.2225
6 Cl 0.2603 0.8038 0.7715
7 Cl 0.2637 0.2876 0.9490
8 Cl 0.3213 0.3448 0.5115
9 Cl 0.6787 0.6552 0.4885
10 Cl 0.7363 0.7124 0.0510
11 Cl 0.7397 0.1962 0.2285
12 Cl 0.7858 0.2396 0.7775

---

[4]
Here is a geometry-optimized PrMgCl structure from the Alexandria database. Energies are from GGA-PBE.

Results
M_tot = 0.021 μB/atom
electronic total energy = -3.529 eV per atom
uncorrected formation energy = -789 meV/atom

a b c (Å): 3.6895 3.6895 15.0838
angles (deg): 90.00 90.00 120.00
Positions (direct):
1 Pr 0.0000 0.0000 0.1819
2 Pr 0.0000 0.0000 0.8181
3 Mg 0.3333 0.6667 0.5000
4 Mg 0.6667 0.3333 0.0000
5 Cl 0.3333 0.6667 0.3172
6 Cl 0.3333 0.6667 0.6828

---

[5]
Here is a geometry-optimized RbPrMgCl6 structure from the Alexandria database. Energies are from GGA-PBE.

Results
M_tot = 0.000 μB/atom
electronic total energy = -4.131 eV per atom
uncorrected formation energy = -2084 meV/atom

a b c (Å): 6.9915 6.9915 14.3881
angles (deg): 90.00 90.00 120.00
Positions (direct):
1 Rb 0.0000 0.0000 0.0000
2 Rb 0.0000 0.0000 0.5000
3 Pr 0.3333 0.6667 0.2500
4 Pr 0.6667 0.3333 0.7500
5 Mg 0.3333 0.6667 0.7500
6 Mg 0.6667 0.3333 0.2500
7 Cl 0.0253 0.3880 0.6460
8 Cl 0.0253 0.6373 0.8540
9 Cl 0.3627 0.3880 0.8540
10 Cl 0.3627 0.9747 0.6460
11 Cl 0.3880 0.0253 0.1460
12 Cl 0.3880 0.3627 0.3540
13 Cl 0.6120 0.6373 0.6460
14 Cl 0.6120 0.9747 0.8540
15 Cl 0.6373 0.0253 0.3540
16 Cl 0.6373 0.6120 0.1460
17 Cl 0.9747 0.3627 0.1460
18 Cl 0.9747 0.6120 0.3540

---

[6]
Here is a geometry-optimized MgPt2Cl structure from the Alexandria database. Energies are from GGA-PBE.

Results
M_tot = 0.000 μB/atom
distance to the lowest polymorph of the same formula = 0.62 eV/f.u.
electronic total energy = -4.185 eV per atom
uncorrected formation energy = -304 meV/atom

a b c (Å): 5.3024 5.4071 5.0218
angles (deg): 90.00 90.00 90.00
Positions (direct):
1 Mg 0.0000 0.0000 0.0000
2 Mg 0.5000 0.5000 0.0000
3 Pt 0.0000 0.2424 0.5000
4 Pt 0.0000 0.7576 0.5000
5 Pt 0.5000 0.2576 0.5000
6 Pt 0.5000 0.7424 0.5000
7 Cl 0.0000 0.5000 0.0000
8 Cl 0.5000 0.0000 0.0000

---

[7]
Here is a geometry-optimized MgPt2Cl structure from the Alexandria database. Energies are from GGA-PBE.

Results
M_tot = 0.000 μB/atom
distance to the lowest polymorph of the same formula = 1.27 eV/f.u.
electronic total energy = -4.024 eV per atom
uncorrected formation energy = -143 meV/atom

a b c (Å): 2.9293 3.8253 6.1741
angles (deg): 90.00 90.00 90.00
Positions (direct):
1 Mg 0.0000 0.0000 0.0000
2 Pt 0.5000 0.5000 0.2149
3 Pt 0.5000 0.5000 0.7851
4 Cl 0.0000 0.0000 0.5000

---

[8]
Here is a geometry-optimized Mg4PtCl structure from the Alexandria database. Energies are from GGA-PBE.

Results
M_tot = 0.000 μB/atom
electronic total energy = -2.379 eV per atom
uncorrected formation energy = -1 meV/atom

a b c (Å): 5.6205 5.6205 5.6205
angles (deg): 60.00 60.00 60.00
Positions (direct):
1 Mg 0.1241 0.1241 0.1241
2 Mg 0.1241 0.1241 0.6278
3 Mg 0.1241 0.6278 0.1241
4 Mg 0.6278 0.1241 0.1241
5 Pt 0.7500 0.7500 0.7500
6 Cl 0.5000 0.5000 0.5000

---

[9]
Here is a geometry-optimized MgPtCl structure from the Alexandria database. Energies are from GGA-PBE.

Results
M_tot = 0.000 μB/atom
distance to the lowest polymorph of the same formula = 0.32 eV/f.u.
electronic total energy = -4.056 eV per atom
uncorrected formation energy = -895 meV/atom

a b c (Å): 3.0766 3.0777 12.0608
angles (deg): 90.00 90.47 90.00
Positions (direct):
1 Mg 0.2419 0.2500 0.2721
2 Mg 0.7581 0.7500 0.7279
3 Pt 0.2525 0.2500 0.5744
4 Pt 0.7475 0.7500 0.4256
5 Cl 0.2599 0.2500 0.8481
6 Cl 0.7401 0.7500 0.1519

---

[10]
Here is a geometry-optimized MgPt2Cl structure from the Alexandria database. Energies are from GGA-PBE.

Results
M_tot = 0.000 μB/atom
distance to the lowest polymorph of the same formula = 1.50 eV/f.u.
electronic total energy = -3.967 eV per atom
uncorrected formation energy = -86 meV/atom

a b c (Å): 2.9514 4.8174 9.6956
angles (deg): 90.00 90.00 90.00
Positions (direct):
1 Mg 0.0000 0.0000 0.0000
2 Mg 0.5000 0.5000 0.0000
3 Pt 0.0000 0.5000 0.2187
4 Pt 0.0000 0.5000 0.7813
5 Pt 0.5000 0.0000 0.2187
6 Pt 0.5000 0.0000 0.7813
7 Cl 0.0000 0.0000 0.5000
8 Cl 0.5000 0.5000 0.5000

---

[11]
Here is a geometry-optimized Mg3PtCl structure from the Alexandria database. Energies are from GGA-PBE.

Results
M_tot = 0.000 μB/atom
distance to the lowest polymorph of the same formula = 0.00 eV/f.u.
electronic total energy = -3.045 eV per atom
uncorrected formation energy = -511 meV/atom

a b c (Å): 5.0696 5.0696 5.0696
angles (deg): 90.00 90.00 90.00
Positions (direct):
1 Mg 0.0000 0.0000 0.5000
2 Mg 0.0000 0.5000 0.0000
3 Mg 0.5000 0.0000 0.0000
4 Pt 0.0000 0.0000 0.0000
5 Cl 0.5000 0.5000 0.5000

---

[12]
Here is a geometry-optimized MgPt2Cl structure from the Alexandria database. Energies are from GGA-PBE.

Results
M_tot = 0.000 μB/atom
distance to the lowest polymorph of the same formula = 2.01 eV/f.u.
electronic total energy = -3.839 eV per atom
uncorrected formation energy = 42 meV/atom

a b c (Å): 5.4967 8.4707 2.9224
angles (deg): 90.00 90.00 90.00
Positions (direct):
1 Mg 0.0000 0.0000 0.0000
2 Mg 0.5000 0.5000 0.0000
3 Pt 0.2500 0.2500 0.5000
4 Pt 0.2500 0.7500 0.5000
5 Pt 0.7500 0.2500 0.5000
6 Pt 0.7500 0.7500 0.5000
7 Cl 0.0000 0.5000 0.0000
8 Cl 0.5000 0.0000 0.0000